1.
# RbRhSe2 | Alexandria via LeMat-Bulk | PBE-GGA | optimized geometry
data_RbRhSe2
_chemical_formula_sum 'Rb4 Rh4 Se8'
_symmetry_space_group_name_H-M 'C 1 2/m 1'
_symmetry_Int_Tables_number 12
_cell_length_a 18.964
_cell_length_b 3.623
_cell_length_c 6.475
_cell_angle_alpha 90.00
_cell_angle_beta 108.54
_cell_angle_gamma 90.00
loop_
_symmetry_equiv_pos_as_xyz
'x,y,z'
'-x,-y,-z'
'-x,y,-z'
'x,-y,z'
'x+1/2,y+1/2,z'
'-x+1/2,-y+1/2,-z'
'-x+1/2,y+1/2,-z'
'x+1/2,-y+1/2,z'
loop_
_atom_site_label
_atom_site_fract_x
_atom_site_fract_y
_atom_site_fract_z
_atom_site_occupancy
Rb1 0.078 0.000 0.325 1
Rh1 0.189 0.000 0.892 1
Se1 0.093 0.500 0.859 1
Se2 0.241 0.500 0.717 1
# E_form (uncorrected) (meV/atom): -615

---

2.
# Nd2ThAl2Zn2 | Alexandria via LeMat-Bulk | PBE-GGA | optimized geometry
data_Nd2ThAl2Zn2
_chemical_formula_sum 'Nd6 Th3 Al6 Zn6'
_symmetry_space_group_name_H-M 'R -3 m'
_symmetry_Int_Tables_number 166
_symmetry_space_group_name_Hall '-R 3 2"'
_cell_length_a 4.5197
_cell_length_b 4.5197
_cell_length_c 29.1659
_cell_angle_alpha 90.00
_cell_angle_beta 90.00
_cell_angle_gamma 120.00
loop_
_atom_site_label
_atom_site_fract_x
_atom_site_fract_y
_atom_site_fract_z
_atom_site_occupancy
Nd1 0.0000 0.0000 0.1283 1
Th1 0.0000 0.0000 0.0000 1
Al1 0.0000 0.0000 0.2654 1
Zn1 0.0000 0.0000 0.3980 1
# Formation energy from the elements (eV/atom): -0.269

---

3.
# Pr5Sc2Pb5 | Alexandria via LeMat-Bulk | PBE-GGA | optimized geometry
data_Pr5Sc2Pb5
_chemical_formula_sum 'Pr10 Sc4 Pb10'
_symmetry_space_group_name_H-M 'C 1 2/m 1'
_symmetry_Int_Tables_number 12
_cell_length_a 12.815
_cell_length_b 4.889
_cell_length_c 13.523
_cell_angle_alpha 90.00
_cell_angle_beta 116.45
_cell_angle_gamma 90.00
loop_
_symmetry_equiv_pos_as_xyz
'x,y,z'
'-x,-y,-z'
'-x,y,-z'
'x,-y,z'
'x+1/2,y+1/2,z'
'-x+1/2,-y+1/2,-z'
'-x+1/2,y+1/2,-z'
'x+1/2,-y+1/2,z'
loop_
_atom_site_label
_atom_site_fract_x
_atom_site_fract_y
_atom_site_fract_z
_atom_site_occupancy
Pr1 0.000 0.000 0.000 1
Pr2 0.163 0.000 0.520 1
Pr3 0.192 0.000 0.798 1
Sc1 0.045 0.500 0.293 1
Pb1 0.000 0.500 0.500 1
Pb2 0.138 0.500 0.936 1
Pb3 0.173 0.000 0.279 1
# Formation energy from the elements (eV/atom): -0.375